No. 1
Density functional theory data (PBE-GGA) for an optimized crystal structure of Dy2Sc2CI5.

Lattice parameters (Å, degrees): 10.3889 10.3889 8.4809 101.51 101.51 21.50
Last column: nearest neighbours and their distance in Å.
Element x y z (fractional)
1 Dy 0.0000 0.0000 0.1916  2 C 2.53
2 Dy 0.0000 0.0000 0.8084  2 C 2.53
3 Sc 0.3881 0.3881 0.9451  1 C 2.24
4 Sc 0.6119 0.6119 0.0549  1 C 2.24
5 C 0.5000 0.5000 0.0000  2 Sc 2.24
6 I 0.1541 0.1541 0.3163  2 Sc 2.94, 1 Dy 3.11
7 I 0.1545 0.1545 0.8346  2 Sc 2.94, 1 Dy 3.12
8 I 0.5000 0.5000 0.5000  4 Dy 3.26
9 I 0.8455 0.8455 0.1654  2 Sc 2.94, 1 Dy 3.12
10 I 0.8459 0.8459 0.6837  2 Sc 2.94, 1 Dy 3.11

Uncorrected energy   -4.969 eV per atom
Total moment   0.37 μB/f.u.

---

No. 2
Density functional theory data (PBE-GGA) for an optimized crystal structure of TmZrSn.

Lattice parameters (Å, degrees): 4.9958 4.9958 4.9958 60.00 60.00 60.00
Last column: nearest neighbours and their distance in Å.
Element x y z (fractional)
1 Tm 0.0000 0.0000 0.0000  4 Zr 3.06
2 Zr 0.7500 0.7500 0.7500  4 Tm 3.06, 4 Sn 3.06
3 Sn 0.5000 0.5000 0.5000  4 Zr 3.06

Uncorrected energy   -5.366 eV per atom
Total moment   1.93 μB/f.u.

---

No. 3
Density functional theory data (PBE-GGA) for an optimized crystal structure of HfPaCu.

Lattice parameters (Å, degrees): 4.6457 4.6457 4.6457 60.00 60.00 60.00
Last column: nearest neighbours and their distance in Å.
Element x y z (fractional)
1 Hf 0.0000 0.0000 0.0000  4 Pa 2.84
2 Pa 0.7500 0.7500 0.7500  4 Cu 2.84, 4 Hf 2.84
3 Cu 0.5000 0.5000 0.5000  4 Pa 2.84

Total moment   1.83 μB/f.u.
Calculated formation energy   1.123 eV/atom

---

No. 4
Density functional theory data (PBE-GGA) for an optimized crystal structure of Nd3CuSiSe7.

Lattice parameters (Å, degrees): 10.6187 10.6187 6.0864 90.00 90.00 120.00
Last column: nearest neighbours and their distance in Å.
Element x y z (fractional)
1 Nd 0.1283 0.3554 0.0000  8 Se 2.96-3.29
2 Nd 0.2271 0.8717 0.0000  8 Se 2.96-3.29
3 Nd 0.3554 0.2271 0.5000  8 Se 2.96-3.29
4 Nd 0.6446 0.7729 0.0000  8 Se 2.96-3.29
5 Nd 0.7729 0.1283 0.5000  8 Se 2.96-3.29
6 Nd 0.8717 0.6446 0.5000  8 Se 2.96-3.29
7 Cu 0.0000 0.0000 0.0317  3 Se 2.39
8 Cu 0.0000 0.0000 0.5317  3 Se 2.39
9 Si 0.3333 0.6667 0.4115  4 Se 2.26-2.31
10 Si 0.6667 0.3333 0.9115  4 Se 2.26-2.31
11 Se 0.0928 0.2565 0.5191  1 Cu 2.39
12 Se 0.1053 0.5834 0.2629  1 Si 2.31
13 Se 0.1637 0.9072 0.5191  1 Cu 2.39
14 Se 0.2565 0.1637 0.0191  1 Cu 2.39
15 Se 0.3333 0.6667 0.7835  1 Si 2.26
16 Se 0.4166 0.5219 0.2629  1 Si 2.31
17 Se 0.4781 0.8947 0.2629  1 Si 2.31
18 Se 0.5219 0.1053 0.7629  1 Si 2.31
19 Se 0.5834 0.4781 0.7629  1 Si 2.31
20 Se 0.6667 0.3333 0.2835  1 Si 2.26
21 Se 0.7435 0.8363 0.5191  1 Cu 2.39
22 Se 0.8363 0.0928 0.0191  1 Cu 2.39
23 Se 0.8947 0.4166 0.7629  1 Si 2.31
24 Se 0.9072 0.7435 0.0191  1 Cu 2.39

Uncorrected energy   -5.351 eV per atom
Total moment   0.00 μB/f.u.

---

No. 5
Density functional theory data (PBE-GGA) for an optimized crystal structure of Fe2PtI6Br2.

Lattice parameters (Å, degrees): 8.0340 8.0340 7.4170 91.73 91.73 81.74
Last column: nearest neighbours and their distance in Å.
Element x y z (fractional)
1 Fe 0.2192 0.2192 0.3287  1 Br 2.30, 1 I 2.50
2 Fe 0.7808 0.7808 0.6713  1 Br 2.30, 1 I 2.50
3 Pt 0.0000 0.0000 0.0000  4 I 2.65
4 I 0.0907 0.7262 0.7984  1 Fe 2.62, 1 Pt 2.65
5 I 0.2282 0.2282 0.6654  1 Fe 2.50
6 I 0.2738 0.9093 0.2016  1 Fe 2.62, 1 Pt 2.65
7 I 0.7262 0.0907 0.7984  1 Fe 2.62, 1 Pt 2.65
8 I 0.7718 0.7718 0.3346  1 Fe 2.50
9 I 0.9093 0.2738 0.2016  1 Fe 2.62, 1 Pt 2.65
10 Br 0.3908 0.3908 0.2090  1 Fe 2.30
11 Br 0.6092 0.6092 0.7910  1 Fe 2.30

Uncorrected energy   -3.421 eV per atom
Total moment   10.00 μB/f.u.

---

No. 6
Density functional theory data (PBE-GGA) for an optimized crystal structure of TlMo2N2Cl6.

Lattice parameters (Å, degrees): 6.8166 6.8166 10.9125 106.64 106.64 31.96
Last column: nearest neighbours and their distance in Å.
Element x y z (fractional)
1 Tl 0.0000 0.0000 0.0000  8 Cl 3.20-3.30
2 Mo 0.4956 0.4956 0.3435  2 N 1.89
3 Mo 0.5044 0.5044 0.6565  2 N 1.89
4 N 0.0019 0.0019 0.6325  2 Mo 1.89
5 N 0.9981 0.9981 0.3675  2 Mo 1.89
6 Cl 0.3518 0.3518 0.4502  2 Mo 2.49-2.53
7 Cl 0.3621 0.3621 0.1424  1 Mo 2.36
8 Cl 0.3734 0.3734 0.7669  1 Mo 2.37
9 Cl 0.6266 0.6266 0.2331  1 Mo 2.37
10 Cl 0.6379 0.6379 0.8576  1 Mo 2.36
11 Cl 0.6482 0.6482 0.5498  2 Mo 2.49-2.53

Uncorrected energy   -5.266 eV per atom
Total moment   0.97 μB/f.u.